# 1
# Er5CoSb2 (PBE, optimized geometry)
# Crystal system = orthorhombic
data_Er5CoSb2
_chemical_formula_sum 'Er20 Co4 Sb8'
_space_group_name_H-M_alt 'P n m a'
_space_group_IT_number 62
_space_group_name_Hall '-P 2ac 2n'
_cell_length_a 12.118
_cell_length_b 8.688
_cell_length_c 7.825
_cell_angle_alpha 90.00
_cell_angle_beta 90.00
_cell_angle_gamma 90.00
loop_
_atom_site_label
_atom_site_type_symbol
_atom_site_fract_x
_atom_site_fract_y
_atom_site_fract_z
Er1 Er 0.002 0.250 0.049
Er2 Er 0.065 0.538 0.324
Er3 Er 0.192 0.250 0.622
Er4 Er 0.203 0.750 0.656
Co1 Co 0.010 0.250 0.430
Sb1 Sb 0.173 0.008 0.931


# 2
# Er5CoSb (PBE, optimized geometry)
# Crystal system = monoclinic
data_Er5CoSb
_chemical_formula_sum 'Er20 Co4 Sb4'
_space_group_name_H-M_alt 'C 1 2/c 1'
_space_group_IT_number 15
_space_group_name_Hall '-C 2yc'
_cell_length_a 11.611
_cell_length_b 8.457
_cell_length_c 9.295
_cell_angle_alpha 90.00
_cell_angle_beta 107.85
_cell_angle_gamma 90.00
loop_
_atom_site_label
_atom_site_type_symbol
_atom_site_fract_x
_atom_site_fract_y
_atom_site_fract_z
Er1 Er 0.000 0.096 0.250
Er2 Er 0.089 0.278 0.972
Er3 Er 0.220 0.105 0.644
Co1 Co 0.000 0.000 0.000
Sb1 Sb 0.000 0.451 0.250


E values (in eV/cell) by entry order: -175.2, -141.0.